The following is a GGA-PBE calculation of a relaxed Rb2PaNb3O12 crystal, from Alexandria via LeMat-Bulk.

Geometry as extended XYZ:
```
18
Lattice="-7.574 0.646 -1.471 -4.032 -5.930 -2.919 -5.245 -3.765 4.273" Properties=species:S:1:pos:R:3 pbc="T T T"
Rb -10.392 -5.581 -0.072
Rb -6.459 -3.469 -0.045
Pa 0.000 0.000 0.000
Nb -3.787 0.323 -0.736
Nb -2.016 -2.965 -1.459
Nb -2.622 -1.883 2.136
O -8.448 -5.133 2.646
O -12.527 -6.163 -2.651
O -11.141 -8.788 0.767
O -9.910 -2.364 -0.959
O -13.248 -4.875 1.628
O -7.687 -6.491 -1.868
O -8.402 -3.917 -2.763
O -4.323 -2.886 2.534
O -5.709 -0.262 -0.884
O -6.940 -6.686 0.842
O -3.602 -4.174 -1.745
O -9.163 -2.558 1.751
```

Values from the calculation:
- VASP energy (eV per cell) = -145.024
- space-group type = R-3m (166)
- DOS at the Fermi energy (states/eV per cell) = 14.4


The following is a GGA-PBE calculation of a relaxed Rb4PaNb3O12 crystal, from Alexandria via LeMat-Bulk.

Geometry as extended XYZ:
```
20
Lattice="7.238 0.000 0.000 -2.413 6.824 0.000 -2.413 -3.412 5.910" Properties=species:S:1:pos:R:3 pbc="T T T"
Rb 1.206 1.706 2.955
Rb -1.206 -1.706 2.955
Rb 3.619 0.000 0.000
Rb -1.206 3.412 0.000
Pa 0.000 0.000 0.000
Nb 2.413 -1.706 2.955
Nb 2.413 3.412 0.000
Nb -2.413 1.706 2.955
O -1.206 0.853 4.432
O 3.568 -2.523 4.370
O 1.257 -0.889 1.540
O 3.619 2.559 1.477
O 3.568 5.046 0.000
O 1.257 1.778 0.000
O 3.619 0.000 2.955
O -1.206 3.412 2.955
O 1.206 -0.853 4.432
O -3.568 2.523 4.370
O 1.206 4.265 1.477
O -1.257 0.889 1.540
```

Values from the calculation:
- VASP energy (eV per cell) = -153.497
- space-group type = Im-3m (229)
- DOS at the Fermi energy (states/eV per cell) = 0.0